Entry 1:
This record from Alexandria via LeMat-Bulk describes SnPd2Ru2 after structural relaxation. The functional is PBE.

Structure (POSCAR):
```
SnPd2Ru2
1.0
-3.1074 0.3873 1.9122
-0.6822 -3.5848 -0.3824
1.2889 -2.7821 6.1781
Pd Ru Sn
2 2 1
Cartesian
-1.8567 -1.9967 4.4276
-0.6441 -3.9828 3.2803
-1.2858 -1.8251 1.8004
-1.2150 -4.1544 5.9075
0.0000 0.0000 0.0000
```

Output
- SG = I4/mmm (139)
- crystal system = tetragonal
- relative energy among the computed polymorphs (eV per atom) = 0.136

---

Entry 2:
This record from Alexandria via LeMat-Bulk describes Sn6PdRu after structural relaxation. The functional is PBE.

Structure (POSCAR):
```
Sn6PdRu
1.0
-2.0756 -5.3003 -1.4194
3.0885 2.1105 -4.5192
5.0237 -1.9557 3.6935
Sn Ru Pd
6 1 1
Cartesian
3.6769 -5.1169 -0.8020
0.4971 -2.7017 -0.3251
3.5849 -1.9184 1.3857
2.3597 -0.0287 -1.4431
2.4517 -3.2271 -3.6309
5.5395 -2.4439 -1.9201
3.0183 -2.5728 -1.1226
0.0000 0.0000 0.0000
```

Output
- SG = C2/m (12)
- crystal system = monoclinic

---

Entry 3:
This record from Alexandria via LeMat-Bulk describes SnPd3Ru after structural relaxation. The functional is PBE.

Structure (POSCAR):
```
SnPd3Ru
1.0
4.8732 0.0000 0.0000
0.0000 4.8732 0.0000
0.0000 0.0000 4.8732
Pd Sn Ru
3 1 1
Cartesian
0.0000 0.0000 2.4366
2.4366 0.0000 0.0000
0.0000 2.4366 0.0000
0.0000 0.0000 0.0000
2.4366 2.4366 2.4366
```

Output
- SG = Pm-3m (221)
- crystal system = cubic
- relative energy among the computed polymorphs (eV per atom) = 0.195

---

Entry 4:
This record from Alexandria via LeMat-Bulk describes TbSnPdRu after structural relaxation. The functional is PBE.

Structure (POSCAR):
```
TbSnPdRu
1.0
4.7448 0.0000 0.0000
2.3724 4.1091 0.0000
2.3724 1.3697 3.8741
Pd Tb Ru Sn
1 1 1 1
Cartesian
2.3724 1.3697 0.9685
0.0000 0.0000 0.0000
7.1171 4.1091 2.9056
4.7448 2.7394 1.9370
```

Output
- SG = F-43m (216)
- crystal system = cubic

---

Entry 5:
This record from Alexandria via LeMat-Bulk describes ThSnPdRu after structural relaxation. The functional is PBE.

Structure (POSCAR):
```
ThSnPdRu
1.0
-0.0816 -3.6500 3.2422
3.8502 -2.9721 0.4276
2.8155 0.2097 3.9837
Sn Th Pd Ru
1 1 1 1
Cartesian
4.9380 -4.8093 5.7401
1.6460 -1.6031 1.9134
0.0000 0.0000 0.0000
3.2920 -3.2062 3.8267
```

Output
- SG = F-43m (216)
- crystal system = cubic

---

Entry 6:
This record from Alexandria via LeMat-Bulk describes Tm4SnPd2Ru after structural relaxation. The functional is PBE.

Structure (POSCAR):
```
Tm4SnPd2Ru
1.0
4.9465 0.0000 0.0000
2.4732 4.2838 0.0000
2.4732 1.4279 8.1402
Pd Ru Tm Sn
2 1 4 1
Cartesian
2.4732 1.4279 1.9727
7.4197 4.2838 6.1675
4.9465 2.8559 4.0701
2.4732 1.4279 4.9219
4.9465 2.8559 6.8865
4.9465 2.8559 1.2537
7.4197 4.2838 3.2184
0.0000 0.0000 0.0000
```

Output
- SG = R-3m (166)
- crystal system = trigonal

---

Computed ΔE_f, in the same sequence as the records: 0.353; 0.021; 1.137; -0.546; -0.487; -0.755 eV per atom.